## Al2SnPt2 (PBE)

Data for a relaxed structure of Al2SnPt2.

Geometry as POSCAR:
```
Al2SnPt2
1.0
-2.778 0.456 2.981
2.644 -1.582 2.706
1.908 4.549 3.902
Sn Pt Al
1 2 2
Direct
0.000 0.000 0.000
0.750 0.250 0.500
0.250 0.750 0.500
0.381 0.381 0.239
0.619 0.619 0.761
```

Calculated values
As for the total energy: -0.3826 Ry per atom. The calculation puts the density of states at the Fermi level at 0.381 states/eV per atom. As for the space-group type: I4/mmm, No. 139.